No. 1
K5OsO4F2: relaxed, PBE.

abc: 7.346 6.127 6.127
angles: 116.10 90.00 90.00
Fractional positions:
K  0.000  0.000  0.000
K  0.258  0.298  0.664
K  0.258  0.664  0.298
K  0.742  0.298  0.664
K  0.742  0.664  0.298
Os  0.500  0.981  0.981
O  0.329  0.204  0.204
O  0.500  0.679  0.966
O  0.500  0.966  0.679
O  0.671  0.204  0.204
F  0.000  0.552  0.960
F  0.000  0.960  0.552

Computed properties:
- E_form (uncorrected) (eV per atom) = -1.738
- E (eV/atom) = -5.096
- DOS at the Fermi energy (states/eV/atom) = 0.032
- space-group type = No. 38

***

No. 2
Er3Al5Au6: relaxed, PBE.

abc: 4.399 13.089 9.429
angles: 90.00 90.00 90.00
Fractional positions:
Er  0.250  0.049  0.248
Er  0.250  0.451  0.248
Er  0.250  0.750  0.265
Er  0.750  0.250  0.735
Er  0.750  0.549  0.752
Er  0.750  0.951  0.752
Al  0.250  0.083  0.605
Al  0.250  0.417  0.605
Al  0.250  0.614  0.978
Al  0.250  0.750  0.742
Al  0.250  0.886  0.978
Al  0.750  0.114  0.022
Al  0.750  0.250  0.258
Al  0.750  0.386  0.022
Al  0.750  0.583  0.395
Al  0.750  0.917  0.395
Au  0.250  0.088  0.874
Au  0.250  0.250  0.088
Au  0.250  0.250  0.445
Au  0.250  0.412  0.874
Au  0.250  0.609  0.533
Au  0.250  0.891  0.533
Au  0.750  0.109  0.467
Au  0.750  0.391  0.467
Au  0.750  0.588  0.126
Au  0.750  0.750  0.555
Au  0.750  0.750  0.912
Au  0.750  0.912  0.126

Computed properties:
- E (eV/atom) = -4.402
- DOS at the Fermi energy (states/eV/atom) = 0.602
- space-group type = No. 59
- energy relative to the elements (eV per atom) = -0.68

***

No. 3
Y3Tm7Th: relaxed, PBE.

abc: 9.853 9.853 8.174
angles: 90.00 90.00 64.50
Fractional positions:
Y  0.000  0.000  0.000
Y  0.000  0.000  0.500
Y  0.279  0.388  0.750
Y  0.388  0.279  0.250
Y  0.612  0.721  0.750
Y  0.721  0.612  0.250
Tm  0.103  0.603  0.061
Tm  0.103  0.603  0.439
Tm  0.113  0.213  0.250
Tm  0.213  0.113  0.750
Tm  0.249  0.751  0.750
Tm  0.397  0.897  0.061
Tm  0.397  0.897  0.439
Tm  0.603  0.103  0.561
Tm  0.603  0.103  0.939
Tm  0.751  0.249  0.250
Tm  0.787  0.887  0.250
Tm  0.887  0.787  0.750
Tm  0.897  0.397  0.561
Tm  0.897  0.397  0.939
Th  0.500  0.500  0.000
Th  0.500  0.500  0.500

Computed properties:
- E (eV/atom) = -4.977
- DOS at the Fermi energy (states/eV/atom) = 1.516
- space-group type = No. 63
- energy relative to the elements (eV per atom) = 0.31
- relative energy among the computed polymorphs (meV/atom) = 115

***

No. 4
CeNpAl2Ga5: relaxed, PBE.

abc: 4.250 4.250 9.971
angles: 90.00 90.00 90.00
Fractional positions:
Ce  0.000  0.000  0.000
Np  0.000  0.000  0.500
Al  0.500  0.500  0.378
Al  0.500  0.500  0.622
Ga  0.000  0.500  0.227
Ga  0.000  0.500  0.773
Ga  0.500  0.000  0.227
Ga  0.500  0.000  0.773
Ga  0.500  0.500  0.000

Computed properties:
- E (eV/atom) = -4.839
- DOS at the Fermi energy (states/eV/atom) = 1.512
- space-group type = No. 123
- energy relative to the elements (eV per atom) = -0.23

***

No. 5
Pr3DyZn8: relaxed, PBE.

abc: 5.692 5.692 8.748
angles: 90.00 90.00 120.00
Fractional positions:
Pr  0.000  0.000  0.000
Pr  0.000  0.000  0.398
Pr  0.333  0.667  0.894
Dy  0.333  0.667  0.504
Zn  0.000  0.500  0.203
Zn  0.342  0.171  0.697
Zn  0.500  0.000  0.203
Zn  0.500  0.500  0.203
Zn  0.667  0.333  0.447
Zn  0.667  0.333  0.952
Zn  0.829  0.171  0.697
Zn  0.829  0.658  0.697

Computed properties:
- E (eV/atom) = -2.724
- DOS at the Fermi energy (states/eV/atom) = 0.604
- space-group type = No. 156
- energy relative to the elements (eV per atom) = -0.30
- relative energy among the computed polymorphs (meV/atom) = 18

***

No. 6
CsNa4Te4: relaxed, PBE.

abc: 10.482 10.482 6.355
angles: 90.00 90.00 90.00
Fractional positions:
Cs  0.250  0.250  0.250
Cs  0.750  0.750  0.750
Na  0.107  0.620  0.141
Na  0.120  0.893  0.641
Na  0.380  0.607  0.641
Na  0.393  0.880  0.141
Na  0.607  0.120  0.859
Na  0.620  0.393  0.359
Na  0.880  0.107  0.359
Na  0.893  0.380  0.859
Te  0.082  0.583  0.641
Te  0.083  0.918  0.141
Te  0.417  0.582  0.141
Te  0.418  0.917  0.641
Te  0.582  0.083  0.359
Te  0.583  0.418  0.859
Te  0.917  0.082  0.859
Te  0.918  0.417  0.359

Computed properties:
- E_form (uncorrected) (eV per atom) = -0.704
- E (eV/atom) = -2.781
- DOS at the Fermi energy (states/eV/atom) = 0.559
- space-group type = No. 86

***

What is the DOS at the Fermi energy in the sixth record? 0.559 states/eV/atom

***

The lowest DOS at the Fermi energy belongs to which entry? K5OsO4F2

***

What is the DOS at the Fermi energy in the sixth record? 0.559 states/eV/atom